The following is a PBE calculation of Tb3Dy6Y2Zr after structural relaxation, from Alexandria.

abc: 6.091 6.091 11.641
angles: 94.97 94.97 119.91
Sites, in units of the cell vectors:
Tb1 0.834 0.166 0.500
Tb2 0.500 0.500 0.500
Tb3 0.166 0.834 0.500
Dy1 0.756 0.756 0.245
Dy2 0.592 0.919 0.755
Dy3 0.081 0.408 0.245
Dy4 0.244 0.244 0.755
Dy5 0.408 0.081 0.245
Dy6 0.919 0.592 0.755
Y1 0.667 0.333 0.000
Y2 0.333 0.667 0.000
Zr1 0.000 0.000 0.000

Computed properties:
Spin magnetization, μB per cell: 0.0
Formation energy from the elements, eV/f.u.: 0.5
Space group: No. 12